VASP calculation (GGA-PBE) on Y2ReBiCl after structural relaxation.

Cell: 5.0146 5.0146 5.3778 Å, 90.00 90.00 90.00°
Positions (direct):
Y 0.0000 0.5000 0.0000
Y 0.5000 0.0000 0.0000
Re 0.0000 0.0000 0.5000
Bi 0.5000 0.5000 0.5000
Cl 0.5000 0.5000 0.0000

Results
The electronic total energy comes out at -5.596 eV/atom. As for the space-group type: P4/mmm. For the magnetic moment, the calculation gives 2.18 μB/cell.



VASP calculation (GGA-PBE) on La2SnO after structural relaxation.

Cell: 8.2508 8.2508 8.2508 Å, 26.55 26.55 26.55°
Positions (direct):
La 0.2252 0.2252 0.2252
La 0.7748 0.7748 0.7748
Sn 0.0000 0.0000 0.0000
O 0.5000 0.5000 0.5000

Results
The electronic total energy comes out at -6.381 eV/atom. As for the space-group type: R-3m. For the magnetic moment, the calculation gives 0.00 μB/cell. Its excess energy over the best structure of this formula in the dataset is 0.212 eV per atom.



VASP calculation (GGA-PBE) on Sr2Ce4Sb3N2 after structural relaxation.

Cell: 13.7234 13.7234 13.7234 Å, 159.89 159.89 28.59°
Positions (direct):
Sr 0.1963 0.1963 0.0000
Sr 0.8037 0.8037 0.0000
Ce 0.0830 0.5830 0.5000
Ce 0.4170 0.9170 0.5000
Ce 0.5830 0.0830 0.5000
Ce 0.9170 0.4170 0.5000
Sb 0.3271 0.3271 0.0000
Sb 0.5000 0.5000 0.0000
Sb 0.6729 0.6729 0.0000
N 0.0957 0.0957 0.0000
N 0.9043 0.9043 0.0000

Results
The electronic total energy comes out at -6.227 eV/atom. As for the space-group type: I4/mmm. For the magnetic moment, the calculation gives 2.84 μB/cell.



Ordered E_form (uncorrected) results: 3.1, -6.7, -12.4; unit eV per formula unit.